# AlOF

An optimized crystal structure of AlOF (PBE, Alexandria).

Summary:
- Formation energy (no corrections): -3.203 eV/atom
- Space-group type: Pmmn

Lattice parameters (Å, degrees): 2.871 3.678 6.307 90.00 90.00 90.00
Fractional positions:
Al 0.250 0.250 0.134
Al 0.750 0.750 0.866
O 0.250 0.750 0.079
O 0.750 0.250 0.921
F 0.250 0.750 0.680
F 0.750 0.250 0.320

***

# Tb2NdPd

An optimized crystal structure of Tb2NdPd (PBE, Alexandria).

Summary:
- ΔE to the lowest computed polymorph: 0 meV/atom
- Calculated formation energy: -447 meV per atom
- Space-group type: Pnma

Lattice parameters (Å, degrees): 7.138 9.802 6.568 90.00 90.00 90.00
Fractional positions:
Tb 0.179 0.060 0.171
Tb 0.179 0.440 0.171
Tb 0.321 0.560 0.671
Tb 0.321 0.940 0.671
Tb 0.679 0.060 0.329
Tb 0.679 0.440 0.329
Tb 0.821 0.560 0.829
Tb 0.821 0.940 0.829
Nd 0.020 0.250 0.636
Nd 0.480 0.750 0.136
Nd 0.520 0.250 0.864
Nd 0.980 0.750 0.364
Pd 0.113 0.750 0.925
Pd 0.387 0.250 0.425
Pd 0.613 0.750 0.575
Pd 0.887 0.250 0.075

***

# CdCoTc2

An optimized crystal structure of CdCoTc2 (PBE, Alexandria).

Summary:
- Calculated formation energy: 373 meV per atom
- Space-group type: Pmmm

Lattice parameters (Å, degrees): 2.737 3.920 5.639 90.00 90.00 90.00
Fractional positions:
Cd 0.000 0.000 0.000
Co 0.000 0.000 0.500
Tc 0.500 0.500 0.294
Tc 0.500 0.500 0.706

***

# Ac2GaP3Ir4

An optimized crystal structure of Ac2GaP3Ir4 (PBE, Alexandria).

Summary:
- Calculated formation energy: -828 meV per atom
- Space-group type: P-4m2

Lattice parameters (Å, degrees): 4.246 4.246 10.164 90.00 90.00 90.00
Fractional positions:
Ac 0.000 0.500 0.246
Ac 0.500 0.000 0.754
Ga 0.500 0.500 0.000
P 0.000 0.000 0.000
P 0.000 0.500 0.633
P 0.500 0.000 0.367
Ir 0.000 0.000 0.500
Ir 0.000 0.500 0.870
Ir 0.500 0.000 0.130
Ir 0.500 0.500 0.500

***

Computed final energy (eV/f.u.) in order:
-20.181 -21.011 -27.263 -71.200